# 1
DFT (PBE) results for a geometry-optimized Na5TlSb2 structure.

## Properties
**Space group**: No. 194
**Crystal system**: hexagonal
**Raw formation energy**: -0.25 eV/atom

Unit cell a=5.408 b=5.408 c=20.298 alpha=90.00 beta=90.00 gamma=120.00
Fractional coordinates of all 16 atoms:
Na  0.000  0.000  0.139
Na  0.000  0.000  0.361
Na  0.000  0.000  0.639
Na  0.000  0.000  0.861
Na  0.333  0.667  0.054
Na  0.333  0.667  0.250
Na  0.333  0.667  0.446
Na  0.667  0.333  0.554
Na  0.667  0.333  0.750
Na  0.667  0.333  0.946
Tl  0.333  0.667  0.750
Tl  0.667  0.333  0.250
Sb  0.333  0.667  0.604
Sb  0.333  0.667  0.896
Sb  0.667  0.333  0.104
Sb  0.667  0.333  0.396

=====

# 2
DFT (PBE) results for a geometry-optimized PuTh2Zr structure.

## Properties
**Energy of formation**: 0.1003 eV per atom
**Distance to the lowest polymorph of the same formula**: 2 kJ/mol of formula units
**Space group**: No. 123
**Crystal system**: tetragonal

Unit cell a=3.964 b=3.964 c=7.046 alpha=90.00 beta=90.00 gamma=90.00
Fractional coordinates of all 4 atoms:
Pu  0.000  0.000  0.000
Th  0.500  0.500  0.252
Th  0.500  0.500  0.748
Zr  0.000  0.000  0.500

=====

# 3
DFT (PBE) results for a geometry-optimized DyHf3 structure.

## Properties
**Energy of formation**: 0.1754 eV per atom
**Distance to the lowest polymorph of the same formula**: 35 kJ/mol of formula units
**Space group**: No. 139
**Crystal system**: tetragonal

Unit cell a=4.587 b=4.587 c=9.097 alpha=90.00 beta=90.00 gamma=90.00
Fractional coordinates of all 8 atoms:
Dy  0.000  0.000  0.000
Dy  0.500  0.500  0.500
Hf  0.000  0.000  0.500
Hf  0.000  0.500  0.250
Hf  0.000  0.500  0.750
Hf  0.500  0.000  0.250
Hf  0.500  0.000  0.750
Hf  0.500  0.500  0.000

=====

# 4
DFT (PBE) results for a geometry-optimized Sm3Hg3Au structure.

## Properties
**Energy of formation**: -0.4970 eV per atom
**Space group**: No. 44
**Crystal system**: orthorhombic

Unit cell a=3.654 b=4.875 c=20.686 alpha=90.00 beta=90.00 gamma=90.00
Fractional coordinates of all 14 atoms:
Sm  0.000  0.000  0.000
Sm  0.000  0.000  0.385
Sm  0.000  0.500  0.204
Sm  0.500  0.000  0.704
Sm  0.500  0.500  0.500
Sm  0.500  0.500  0.885
Hg  0.000  0.000  0.546
Hg  0.000  0.000  0.843
Hg  0.000  0.500  0.629
Hg  0.500  0.000  0.129
Hg  0.500  0.500  0.046
Hg  0.500  0.500  0.343
Au  0.000  0.500  0.763
Au  0.500  0.000  0.263

=====

# 5
DFT (PBE) results for a geometry-optimized Mg2TcAuF structure.

## Properties
**Space group**: No. 123
**Crystal system**: tetragonal
**Raw formation energy**: -0.40 eV/atom

Unit cell a=4.233 b=4.233 c=4.412 alpha=90.00 beta=90.00 gamma=90.00
Fractional coordinates of all 5 atoms:
Mg  0.000  0.500  0.000
Mg  0.500  0.000  0.000
Tc  0.000  0.000  0.500
Au  0.500  0.500  0.500
F  0.000  0.000  0.000

=====

# 6
DFT (PBE) results for a geometry-optimized Tl2IrW structure.

## Properties
**Energy of formation**: 0.9004 eV per atom
**Distance to the lowest polymorph of the same formula**: 203 kJ/mol of formula units
**Space group**: No. 166
**Crystal system**: trigonal

Unit cell a=3.078 b=3.078 c=27.807 alpha=90.00 beta=90.00 gamma=120.00
Fractional coordinates of all 12 atoms:
Tl  0.000  0.000  0.247
Tl  0.000  0.000  0.753
Tl  0.333  0.667  0.420
Tl  0.333  0.667  0.914
Tl  0.667  0.333  0.086
Tl  0.667  0.333  0.580
Ir  0.000  0.000  0.500
Ir  0.333  0.667  0.167
Ir  0.667  0.333  0.833
W  0.000  0.000  0.000
W  0.333  0.667  0.667
W  0.667  0.333  0.333

=====

# 7
DFT (PBE) results for a geometry-optimized Sr2HfZrRe structure.

## Properties
**Energy of formation**: 1.9626 eV per atom
**Space group**: No. 123
**Crystal system**: tetragonal

Unit cell a=5.771 b=5.771 c=5.109 alpha=90.00 beta=90.00 gamma=90.00
Fractional coordinates of all 5 atoms:
Sr  0.000  0.500  0.000
Sr  0.500  0.000  0.000
Hf  0.000  0.000  0.500
Zr  0.000  0.000  0.000
Re  0.500  0.500  0.500

=====

# 8
DFT (PBE) results for a geometry-optimized NaSrCr2Ru structure.

## Properties
**Energy of formation**: 1.9721 eV per atom
**Space group**: No. 123
**Crystal system**: tetragonal

Unit cell a=5.732 b=5.732 c=4.901 alpha=90.00 beta=90.00 gamma=90.00
Fractional coordinates of all 5 atoms:
Na  0.000  0.000  0.000
Sr  0.500  0.500  0.500
Cr  0.000  0.500  0.500
Cr  0.500  0.000  0.500
Ru  0.500  0.500  0.000